Tb3Pm4Y3 after structural relaxation, computed with PBE.

Cell: 3.8090 9.3531 9.3531 Å, 90.12 90.00 90.00°
Element x y z (fractional)
Y (0.0000, 0.0007, 0.5011)
Y (0.0000, 0.4989, 0.9993)
Y (0.5000, 0.1689, 0.8311)
Tb (0.5000, 0.3317, 0.3314)
Tb (0.5000, 0.6686, 0.6683)
Tb (0.5000, 0.8314, 0.1686)
Pm (0.0000, 0.3705, 0.6295)
Pm (0.0000, 0.6312, 0.3688)
Pm (0.0000, 0.8683, 0.8701)
Pm (0.0000, 0.1299, 0.1317)

Values from the calculation:
**Total magnetic moment**: 0.0 Bohr magnetons per cell
**Symmetry**: Amm2
**Calculated total energy**: -5.141 eV/atom
**N(E_F)**: 8.31 states/eV/cell

TbPm8Y2 after structural relaxation, computed with PBE.

Cell: 5.9933 9.1629 9.4896 Å, 61.13 74.20 55.68°
Element x y z (fractional)
Y (0.0000, 0.3101, 0.3798)
Y (0.0000, 0.6899, 0.6202)
Pm (0.1837, 0.6638, 0.2372)
Pm (0.7048, 0.5746, 0.0000)
Pm (0.1837, 0.9011, 0.7628)
Pm (0.2952, 0.4254, 0.0000)
Pm (0.5000, 0.2046, 0.5907)
Pm (0.5000, 0.7954, 0.4093)
Pm (0.8163, 0.0989, 0.2372)
Pm (0.8163, 0.3362, 0.7628)
Tb (0.5000, 0.0000, 0.0000)

Values from the calculation:
**Total magnetic moment**: 0.0 Bohr magnetons per cell
**Symmetry**: C2/m
**Calculated total energy**: -4.912 eV/atom
**N(E_F)**: 15.32 states/eV/cell
**Excess energy over the best structure of this formula in the dataset**: 2.86 kcal/mol of atoms

Tb12Pm3Y after structural relaxation, computed with PBE.

Cell: 5.0620 5.0620 20.2397 Å, 90.00 90.00 90.00°
Element x y z (fractional)
Tb (0.5000, 0.5000, 0.7508)
Tb (0.0000, 0.5000, 0.8757)
Tb (0.5000, 0.5000, 0.0000)
Tb (0.5000, 0.0000, 0.1243)
Tb (0.0000, 0.5000, 0.1243)
Tb (0.5000, 0.0000, 0.6253)
Tb (0.5000, 0.0000, 0.8757)
Tb (0.5000, 0.5000, 0.2492)
Tb (0.0000, 0.5000, 0.3747)
Tb (0.5000, 0.0000, 0.3747)
Tb (0.5000, 0.5000, 0.5000)
Tb (0.0000, 0.5000, 0.6253)
Pm (0.0000, 0.0000, 0.7504)
Pm (0.0000, 0.0000, 0.5000)
Pm (0.0000, 0.0000, 0.2496)
Y (0.0000, 0.0000, 0.0000)

Values from the calculation:
**Total magnetic moment**: 0.0 Bohr magnetons per cell
**Symmetry**: P4/mmm
**Calculated total energy**: -4.750 eV/atom
**N(E_F)**: 22.03 states/eV/cell

Tb2Pm6Y after structural relaxation, computed with PBE.

Cell: 3.6606 10.0360 10.0360 Å, 55.93 90.00 90.00°
Element x y z (fractional)
Pm (0.0000, 0.8411, 0.4879)
Pm (0.0000, 0.4879, 0.8411)
Pm (0.0000, 0.5121, 0.1589)
Pm (0.5000, 0.6825, 0.3175)
Pm (0.5000, 0.3175, 0.6825)
Pm (0.0000, 0.1589, 0.5121)
Tb (0.5000, 0.1789, 0.1789)
Tb (0.5000, 0.8211, 0.8211)
Y (0.0000, 0.0000, 0.0000)

Values from the calculation:
**Total magnetic moment**: 0.0 Bohr magnetons per cell
**Symmetry**: Cmmm
**Calculated total energy**: -4.785 eV/atom
**N(E_F)**: 12.76 states/eV/cell
**Excess energy over the best structure of this formula in the dataset**: 0.00 kcal/mol of atoms

Tb12Pm5Y2 after structural relaxation, computed with PBE.

Cell: 9.1358 10.0395 8.7284 Å, 66.68 90.00 117.06°
Element x y z (fractional)
Pm (0.2370, 0.4741, 0.7102)
Pm (0.7116, 0.4231, 0.7751)
Pm (0.0000, 0.0000, 0.5000)
Pm (0.7630, 0.5259, 0.2898)
Pm (0.2884, 0.5769, 0.2249)
Tb (0.0454, 0.0908, 0.8162)
Tb (0.9546, 0.9092, 0.1838)
Tb (0.3314, 0.2924, 0.0961)
Tb (0.9610, 0.2924, 0.0961)
Tb (0.6686, 0.7076, 0.9039)
Tb (0.0390, 0.7076, 0.9039)
Tb (0.4383, 0.8767, 0.7172)
Tb (0.1471, 0.7437, 0.4569)
Tb (0.5617, 0.1233, 0.2828)
Tb (0.4034, 0.2563, 0.5431)
Tb (0.8529, 0.2563, 0.5431)
Tb (0.5966, 0.7437, 0.4569)
Y (0.3269, 0.0000, 0.0000)
Y (0.6731, 0.0000, 0.0000)

Values from the calculation:
**Total magnetic moment**: 0.0 Bohr magnetons per cell
**Symmetry**: C2/m
**Calculated total energy**: -4.636 eV/atom
**N(E_F)**: 28.71 states/eV/cell

Tb3Pm3Y5 after structural relaxation, computed with PBE.

Cell: 5.4721 9.6933 9.6933 Å, 120.00 90.00 90.00°
Element x y z (fractional)
Tb (0.0000, 0.0000, 0.5436)
Tb (0.0000, 0.5436, 0.0000)
Tb (0.0000, 0.4564, 0.4564)
Pm (0.5000, 0.3704, 0.0000)
Pm (0.5000, 0.6296, 0.6296)
Pm (0.5000, 0.0000, 0.3704)
Y (0.5000, 0.3333, 0.6667)
Y (0.5000, 0.7396, 0.0000)
Y (0.5000, 0.6667, 0.3333)
Y (0.5000, 0.2604, 0.2604)
Y (0.5000, 0.0000, 0.7396)

Values from the calculation:
**Total magnetic moment**: 0.0 Bohr magnetons per cell
**Symmetry**: P-62m
**Calculated total energy**: -4.692 eV/atom
**N(E_F)**: 17.07 states/eV/cell
**Excess energy over the best structure of this formula in the dataset**: 10.54 kcal/mol of atoms

Tb9Pm2Y3 after structural relaxation, computed with PBE.

Cell: 6.2475 13.5930 10.5746 Å, 40.28 56.10 55.07°
Element x y z (fractional)
Tb (0.9880, 0.5055, 0.1597)
Tb (0.0120, 0.4945, 0.8403)
Tb (0.1930, 0.1018, 0.5131)
Tb (0.5980, 0.3040, 0.0092)
Tb (0.4020, 0.6960, 0.9908)
Tb (0.2588, 0.0833, 0.1649)
Tb (0.0000, 0.5000, 0.5000)
Tb (0.8070, 0.8982, 0.4869)
Tb (0.7412, 0.9167, 0.8351)
Pm (0.5760, 0.2977, 0.6719)
Pm (0.4240, 0.7023, 0.3281)
Y (0.3715, 0.7249, 0.6532)
Y (0.6285, 0.2751, 0.3468)
Y (0.0000, 0.0000, 0.0000)

Values from the calculation:
**Total magnetic moment**: 0.0 Bohr magnetons per cell
**Symmetry**: P-1
**Calculated total energy**: -4.925 eV/atom
**N(E_F)**: 20.98 states/eV/cell

Tb8Pm4Y3 after structural relaxation, computed with PBE.

Cell: 6.9905 6.9905 12.5334 Å, 73.81 73.81 60.00°
Element x y z (fractional)
Y (0.0000, 0.5000, 0.5000)
Y (0.5000, 0.0000, 0.5000)
Y (0.0000, 0.0000, 0.5000)
Tb (0.2502, 0.7525, 0.7472)
Tb (0.2502, 0.2502, 0.7472)
Tb (0.7498, 0.7498, 0.2528)
Tb (0.7498, 0.2475, 0.2528)
Tb (0.7544, 0.7544, 0.7367)
Tb (0.2475, 0.7498, 0.2528)
Tb (0.7525, 0.2502, 0.7472)
Tb (0.2456, 0.2456, 0.2633)
Pm (0.0000, 0.0000, 0.0000)
Pm (0.5000, 0.5000, 0.5000)
Pm (0.3367, 0.3367, 0.9900)
Pm (0.6633, 0.6633, 0.0100)

Values from the calculation:
**Total magnetic moment**: 0.0 Bohr magnetons per cell
**Symmetry**: R-3m
**Calculated total energy**: -4.901 eV/atom
**N(E_F)**: 23.59 states/eV/cell

The records above give, respectively, DFT formation energy values of 0.09; 0.14; 0.02; 0.13; 0.22; 0.80; 0.12; 0.13 eV per atom.